Below is crystalline SnHg3Bi2 at its relaxed geometry, with properties calculated at the PBE level.

a b c (Å): 7.176 7.176 7.084
angles (deg): 99.04 99.04 98.09
Fractional coordinates of all 12 atoms:
Sn 0.159 0.841 0.750
Sn 0.841 0.159 0.250
Hg 0.204 0.447 0.564
Hg 0.391 0.609 0.250
Hg 0.447 0.204 0.064
Hg 0.553 0.796 0.936
Hg 0.609 0.391 0.750
Hg 0.796 0.553 0.436
Bi 0.035 0.278 0.907
Bi 0.278 0.035 0.407
Bi 0.722 0.965 0.593
Bi 0.965 0.722 0.093

uncorrected energy: -2.0335 eV/atom
crystal system: monoclinic
energy relative to the elements: 0.078 eV per atom
calculated density: 10.783 g/cm³